A plane-wave DFT calculation with PBE+U was carried out for a relaxed structure of PuZnCoO6.

Unit cell a=5.0530 b=5.0530 c=9.2520 alpha=90.00 beta=90.00 gamma=120.00
Positions (direct):
Pu 0.3333 0.6667 0.2500
Pu 0.6667 0.3333 0.7500
Zn 0.0000 0.0000 0.0000
Zn 0.0000 0.0000 0.5000
Co 0.3333 0.6667 0.7500
Co 0.6667 0.3333 0.2500
O 0.0147 0.3535 0.6333
O 0.0147 0.6612 0.8667
O 0.3388 0.3535 0.8667
O 0.3388 0.9853 0.6333
O 0.3535 0.0147 0.1333
O 0.3535 0.3388 0.3667
O 0.6465 0.6612 0.6333
O 0.6465 0.9853 0.8667
O 0.6612 0.0147 0.3667
O 0.6612 0.6465 0.1333
O 0.9853 0.3388 0.1333
O 0.9853 0.6465 0.3667

- E_tot (Ha/atom) = -0.2659
- volume (A^3/atom) = 11.37
- spin magnetization (μB per atom) = 0.107
- crystal system = trigonal